A plane-wave DFT calculation with GGA-PBE was carried out for a relaxed structure of Tb4NdY2Er2.

```
data_Tb4NdY2Er2
_chemical_formula_sum 'Tb8 Nd2 Y4 Er4'
_cell_length_a 18.668
_cell_length_b 3.597
_cell_length_c 9.560
_cell_angle_alpha 90.00
_cell_angle_beta 115.69
_cell_angle_gamma 90.00
_space_group_name_H-M_alt 'C 1 2/m 1'
_space_group_IT_number 12
loop_
_space_group_symop_operation_xyz
'x,y,z'
'-x,-y,-z'
'-x,y,-z'
'x,-y,z'
'x+1/2,y+1/2,z'
'-x+1/2,-y+1/2,-z'
'-x+1/2,y+1/2,-z'
'x+1/2,-y+1/2,z'
loop_
_atom_site_label
_atom_site_type_symbol
_atom_site_fract_x
_atom_site_fract_y
_atom_site_fract_z
Tb1 Tb 0.019 0.000 0.334
Tb2 Tb 0.185 0.500 0.335
Nd1 Nd 0.000 0.500 0.000
Y1 Y 0.148 0.500 0.667
Er1 Er 0.168 0.000 0.002
```

Summary:
E ... -5.0362 eV per atom
Total moment ... 0.000 μB per atom
N(E_F) ... 1.37 states/eV per atom